# GaHg2H2 | the Alexandria database | SCAN | single point on PBEsol structure
data_GaHg2H2
_cell_length_a 7.771
_cell_length_b 7.771
_cell_length_c 2.927
_cell_angle_alpha 90.00
_cell_angle_beta 90.00
_cell_angle_gamma 90.00
_space_group_name_H-M_alt 'P 4/m b m'
_space_group_IT_number 127
_space_group_name_Hall '-P 4 2ab'
loop_
_atom_site_label
_atom_site_type_symbol
_atom_site_fract_x
_atom_site_fract_y
_atom_site_fract_z
_atom_site_occupancy
Ga1 Ga 0.000 0.000 0.000 1
Hg1 Hg 0.248 0.252 0.000 1
H1 H 0.035 0.465 0.500 1
# final energy = -31.829 eV per atom
# magnetization = 0.0 μB/cell
# D(E_F) = 1.1 states/eV/f.u.